*A*
Density functional theory data (GGA-PBE) for an optimized crystal structure of LaGaSe2N.

a b c (Å): 5.171 5.171 3.881
angles (deg): 90.00 90.00 90.00
Space group P4/mmm (No. 123)
One atom of each set of equivalent atoms:
La: 0.000 0.000 0.000
Ga: 0.500 0.500 0.500
Se: 0.000 0.500 0.500
N: 0.500 0.500 0.000

***

*B*
Density functional theory data (GGA-PBE) for an optimized crystal structure of LaGaSe2N.

a b c (Å): 5.997 5.997 4.302
angles (deg): 90.00 90.00 90.00
Space group P4/mmm (No. 123)
One atom of each set of equivalent atoms:
La: 0.000 0.000 0.000
Ga: 0.500 0.500 0.500
Se: 0.000 0.500 0.000
N: 0.000 0.000 0.500

***

Which structure loses on stability? *B* does.

***

*A*
Density functional theory data (GGA-PBE) for an optimized crystal structure of LaGaSeN2.

a b c (Å): 4.130 4.130 5.005
angles (deg): 90.00 90.00 90.00
Space group P4/mmm (No. 123)
One atom of each set of equivalent atoms:
La: 0.000 0.000 0.000
Ga: 0.500 0.500 0.500
Se: 0.500 0.500 0.000
N: 0.000 0.500 0.500

***

*B*
Density functional theory data (GGA-PBE) for an optimized crystal structure of LaGaSeN2.

a b c (Å): 4.218 4.218 6.467
angles (deg): 90.00 90.00 90.00
Space group P4/mmm (No. 123)
One atom of each set of equivalent atoms:
La: 0.000 0.000 0.000
Ga: 0.500 0.500 0.500
Se: 0.000 0.000 0.500
N: 0.000 0.500 0.000

***

Which structure loses on stability? *B* does.

***

*A*
Density functional theory data (GGA-PBE) for an optimized crystal structure of LaGaTe2N.

a b c (Å): 5.773 5.773 3.979
angles (deg): 90.00 90.00 90.00
Space group P4/mmm (No. 123)
One atom of each set of equivalent atoms:
La: 0.000 0.000 0.000
Ga: 0.500 0.500 0.500
Te: 0.000 0.500 0.500
N: 0.500 0.500 0.000

***

*B*
Density functional theory data (GGA-PBE) for an optimized crystal structure of LaGaTe2N.

a b c (Å): 6.587 6.587 3.993
angles (deg): 90.00 90.00 90.00
Space group P4/mmm (No. 123)
One atom of each set of equivalent atoms:
La: 0.000 0.000 0.000
Ga: 0.500 0.500 0.500
Te: 0.000 0.500 0.000
N: 0.000 0.000 0.500

***

Which structure loses on stability? *B* does.

***

*A*
Density functional theory data (GGA-PBE) for an optimized crystal structure of LaGaTeN2.

a b c (Å): 4.314 4.314 5.291
angles (deg): 90.00 90.00 90.00
Space group P4/mmm (No. 123)
One atom of each set of equivalent atoms:
La: 0.000 0.000 0.000
Ga: 0.500 0.500 0.500
Te: 0.500 0.500 0.000
N: 0.000 0.500 0.500

***

*B*
Density functional theory data (GGA-PBE) for an optimized crystal structure of LaGaTeN2.

a b c (Å): 4.289 4.289 6.923
angles (deg): 90.00 90.00 90.00
Space group P4/mmm (No. 123)
One atom of each set of equivalent atoms:
La: 0.000 0.000 0.000
Ga: 0.500 0.500 0.500
Te: 0.000 0.000 0.500
N: 0.000 0.500 0.000

***

Which structure loses on stability? *B* does.